# 1
# La5Pr5Dy2 | Alexandria | GGA-PBE | optimized geometry
# - D(E_F): 43.17 states/eV per cell
data_La5Pr5Dy2
_cell_length_a 15.764
_cell_length_b 5.220
_cell_length_c 11.690
_cell_angle_alpha 90.00
_cell_angle_beta 116.74
_cell_angle_gamma 90.00
_space_group_name_H-M_alt 'C 1 2/m 1'
_space_group_IT_number 12
loop_
_space_group_symop_operation_xyz
'x,y,z'
'-x,-y,-z'
'-x,y,-z'
'x,-y,z'
'x+1/2,y+1/2,z'
'-x+1/2,-y+1/2,-z'
'-x+1/2,y+1/2,-z'
'x+1/2,-y+1/2,z'
loop_
_atom_site_label
_atom_site_type_symbol
_atom_site_fract_x
_atom_site_fract_y
_atom_site_fract_z
_atom_site_occupancy
La1 La 0.000 0.000 0.000 1
La2 La 0.082 0.000 0.749 1
La3 La 0.166 0.000 0.500 1
Pr1 Pr 0.000 0.500 0.500 1
Pr2 Pr 0.166 0.500 0.000 1
Pr3 Pr 0.247 0.000 0.249 1
Dy1 Dy 0.084 0.500 0.250 1

# 2
# La4Pr2Dy3 | Alexandria | GGA-PBE | optimized geometry
# - D(E_F): 17.00 states/eV per cell
# - ΔE to the lowest computed polymorph: 0.0 meV per atom
data_La4Pr2Dy3
_cell_length_a 3.6577
_cell_length_b 3.6577
_cell_length_c 27.5374
_cell_angle_alpha 90.00
_cell_angle_beta 90.00
_cell_angle_gamma 120.00
_space_group_name_H-M_alt 'P 3 m 1'
_space_group_IT_number 156
loop_
_space_group_symop_operation_xyz
'x,y,z'
'-y,x-y,z'
'-x+y,-x,z'
'-y,-x,z'
'-x+y,y,z'
'x,x-y,z'
loop_
_atom_site_label
_atom_site_type_symbol
_atom_site_fract_x
_atom_site_fract_y
_atom_site_fract_z
_atom_site_occupancy
La1 La 0.0000 0.0000 0.0000 1
La2 La 0.0000 0.0000 0.2120 1
La3 La 0.3333 0.6667 0.3289 1
La4 La 0.3333 0.6667 0.5423 1
Pr1 Pr 0.0000 0.0000 0.6578 1
Pr2 Pr 0.0000 0.0000 0.8679 1
Dy1 Dy 0.0000 0.0000 0.4354 1
Dy2 Dy 0.3333 0.6667 0.1048 1
Dy3 Dy 0.3333 0.6667 0.7643 1

# 3
# La7Pr2Dy3 | Alexandria | GGA-PBE | optimized geometry
# - D(E_F): 18.10 states/eV per cell
data_La7Pr2Dy3
_cell_length_a 6.584
_cell_length_b 3.613
_cell_length_c 17.934
_cell_angle_alpha 90.00
_cell_angle_beta 95.48
_cell_angle_gamma 90.00
_space_group_name_H-M_alt 'P 1 2/m 1'
_space_group_IT_number 10
loop_
_space_group_symop_operation_xyz
'x,y,z'
'-x,-y,-z'
'-x,y,-z'
'x,-y,z'
loop_
_atom_site_label
_atom_site_type_symbol
_atom_site_fract_x
_atom_site_fract_y
_atom_site_fract_z
_atom_site_occupancy
La1 La 0.000 0.000 0.000 1
La2 La 0.228 0.500 0.171 1
La3 La 0.263 0.500 0.491 1
La4 La 0.281 0.000 0.835 1
Pr1 Pr 0.060 0.500 0.670 1
Dy1 Dy 0.456 0.000 0.338 1
Dy2 Dy 0.500 0.500 0.000 1

Number 1: formation energy from the elements 0.02 eV/atom. Number 2: formation energy from the elements 0.06 eV/atom. Number 3: formation energy from the elements 0.06 eV/atom.